{"formula": "Nd2YTlO6", "functional": "PBE", "state": "relaxed", "crystal_system": "trigonal", "total_energy_ev_per_atom": -7.497, "n_ef_per_ev_fu": 0.000, "formation_energy_uncorrected_mev_per_atom": -2685.9, "cell": [[2.986, 1.724, 5.148], [-2.986, 1.724, 5.148], [0.000, -3.448, 5.148]], "species": ["Nd", "Nd", "Y", "Tl", "O", "O", "O", "O", "O", "O"], "fractional_positions": [[0.000, 0.000, 0.000], [0.498, 0.498, 0.498], [0.719, 0.719, 0.719], [0.220, 0.220, 0.220], [0.091, 0.829, 0.417], [0.337, 0.596, 0.911], [0.417, 0.091, 0.829], [0.596, 0.911, 0.337], [0.829, 0.417, 0.091], [0.911, 0.337, 0.596]]}